Entry 1:
Mg2HgRuN after structural relaxation. Source: Alexandria via LeMat-Bulk, functional GGA-PBE.

```
Mg2HgRuN
1.0
4.476 0.000 0.000
0.000 4.476 0.000
0.000 0.000 3.859
Mg Hg Ru N
2 1 1 1
Cartesian
0.000 2.238 0.000
2.238 0.000 0.000
0.000 0.000 1.930
2.238 2.238 1.930
2.238 2.238 0.000
```

Computed properties:
Space group = P4/mmm
Size of the total moment = 0.00 μB per cell
E = -0.16368 hartree per atom
Formation energy without anion corrections = -235.5 meV per atom

---

Entry 2:
MgHgS2N after structural relaxation. Source: Alexandria via LeMat-Bulk, functional GGA-PBE.

```
MgHgS2N
1.0
4.964 0.000 0.000
0.000 4.964 0.000
0.000 0.000 4.066
Mg Hg S N
1 1 2 1
Cartesian
0.000 0.000 0.000
2.482 2.482 2.033
0.000 2.482 0.000
2.482 0.000 0.000
0.000 0.000 2.033
```

Computed properties:
Offset from the most stable computed form = 0.00 eV/f.u.
Space group = P4/mmm
Size of the total moment = 2.82 μB per cell
E = -0.11006 hartree per atom
Formation energy without anion corrections = 700.4 meV per atom

---

Entry 3:
MgHgSN2 after structural relaxation. Source: Alexandria via LeMat-Bulk, functional GGA-PBE.

```
MgHgSN2
1.0
4.111 0.000 0.000
0.000 4.111 0.000
0.000 0.000 5.371
Mg Hg S N
1 1 1 2
Cartesian
0.000 0.000 0.000
2.056 2.056 2.686
0.000 0.000 2.686
0.000 2.056 0.000
2.056 0.000 0.000
```

Computed properties:
Offset from the most stable computed form = 0.00 eV/f.u.
Space group = P4/mmm
Size of the total moment = 4.30 μB per cell
E = -0.12265 hartree per atom
Formation energy without anion corrections = 1197.5 meV per atom

---

Entry 4:
MgHgSN2 after structural relaxation. Source: Alexandria via LeMat-Bulk, functional GGA-PBE.

```
MgHgSN2
1.0
4.136 0.000 0.000
0.000 4.136 0.000
0.000 0.000 5.864
Mg Hg S N
1 1 1 2
Cartesian
0.000 0.000 0.000
2.068 2.068 2.932
2.068 2.068 0.000
0.000 2.068 2.932
2.068 0.000 2.932
```

Computed properties:
Offset from the most stable computed form = 1.40 eV/f.u.
Space group = P4/mmm
Size of the total moment = 3.04 μB per cell
E = -0.11239 hartree per atom
Formation energy without anion corrections = 1476.7 meV per atom

---

Entry 5:
MgHgS2N after structural relaxation. Source: Alexandria via LeMat-Bulk, functional GGA-PBE.

```
MgHgS2N
1.0
5.147 0.000 0.000
0.000 5.147 0.000
0.000 0.000 4.101
Mg Hg S N
1 1 2 1
Cartesian
0.000 0.000 0.000
2.574 2.574 2.050
0.000 2.574 2.050
2.574 0.000 2.050
2.574 2.574 0.000
```

Computed properties:
Offset from the most stable computed form = 1.04 eV/f.u.
Space group = P4/mmm
Size of the total moment = 1.96 μB per cell
E = -0.10239 hartree per atom
Formation energy without anion corrections = 909.2 meV per atom

---

Entry 6:
MgHgSe2N after structural relaxation. Source: Alexandria via LeMat-Bulk, functional GGA-PBE.

```
MgHgSe2N
1.0
5.248 0.000 0.000
0.000 5.248 0.000
0.000 0.000 4.037
Mg Hg Se N
1 1 2 1
Cartesian
0.000 0.000 0.000
2.624 2.624 2.019
0.000 2.624 0.000
2.624 0.000 0.000
0.000 0.000 2.019
```

Computed properties:
Offset from the most stable computed form = 0.00 eV/f.u.
Space group = P4/mmm
Size of the total moment = 2.87 μB per cell
E = -0.10359 hartree per atom
Formation energy without anion corrections = 619.3 meV per atom

---

Entry 7:
MgHgSe2N after structural relaxation. Source: Alexandria via LeMat-Bulk, functional GGA-PBE.

```
MgHgSe2N
1.0
5.404 0.000 0.000
0.000 5.404 0.000
0.000 0.000 4.109
Mg Hg Se N
1 1 2 1
Cartesian
0.000 0.000 0.000
2.702 2.702 2.054
0.000 2.702 2.054
2.702 0.000 2.054
2.702 2.702 0.000
```

Computed properties:
Offset from the most stable computed form = 1.13 eV/f.u.
Space group = P4/mmm
Size of the total moment = 1.97 μB per cell
E = -0.09530 hartree per atom
Formation energy without anion corrections = 845.0 meV per atom

---

Entry 8:
MgHgTeN2 after structural relaxation. Source: Alexandria via LeMat-Bulk, functional GGA-PBE.

```
MgHgTeN2
1.0
4.280 0.000 0.000
0.000 4.280 0.000
0.000 0.000 6.430
Mg Hg Te N
1 1 1 2
Cartesian
0.000 0.000 0.000
2.140 2.140 3.215
2.140 2.140 0.000
0.000 2.140 3.215
2.140 0.000 3.215
```

Computed properties:
Offset from the most stable computed form = 1.75 eV/f.u.
Space group = P4/mmm
Size of the total moment = 3.36 μB per cell
E = -0.10452 hartree per atom
Formation energy without anion corrections = 1493.7 meV per atom

---

Entry 9:
MgHgTeN2 after structural relaxation. Source: Alexandria via LeMat-Bulk, functional GGA-PBE.

```
MgHgTeN2
1.0
4.238 0.000 0.000
0.000 4.238 0.000
0.000 0.000 6.236
Mg Hg Te N
1 1 1 2
Cartesian
0.000 0.000 0.000
2.119 2.119 3.118
0.000 0.000 3.118
0.000 2.119 0.000
2.119 0.000 0.000
```

Computed properties:
Offset from the most stable computed form = 0.00 eV/f.u.
Space group = P4/mmm
Size of the total moment = 4.28 μB per cell
E = -0.11735 hartree per atom
Formation energy without anion corrections = 1144.5 meV per atom

---

Entry 10:
MgHgTe2N after structural relaxation. Source: Alexandria via LeMat-Bulk, functional GGA-PBE.

```
MgHgTe2N
1.0
5.840 0.000 0.000
0.000 5.840 0.000
0.000 0.000 4.066
Mg Hg Te N
1 1 2 1
Cartesian
0.000 0.000 0.000
2.920 2.920 2.033
0.000 2.920 2.033
2.920 0.000 2.033
2.920 2.920 0.000
```

Computed properties:
Offset from the most stable computed form = 1.42 eV/f.u.
Space group = P4/mmm
Size of the total moment = 1.78 μB per cell
E = -0.08823 hartree per atom
Formation energy without anion corrections = 900.2 meV per atom

---

Entry 11:
MgHgTe2N after structural relaxation. Source: Alexandria via LeMat-Bulk, functional GGA-PBE.

```
MgHgTe2N
1.0
5.789 0.000 0.000
0.000 5.789 0.000
0.000 0.000 3.911
Mg Hg Te N
1 1 2 1
Cartesian
0.000 0.000 0.000
2.894 2.894 1.956
0.000 2.894 0.000
2.894 0.000 0.000
0.000 0.000 1.956
```

Computed properties:
Offset from the most stable computed form = 0.00 eV/f.u.
Space group = P4/mmm
Size of the total moment = 1.95 μB per cell
E = -0.09865 hartree per atom
Formation energy without anion corrections = 616.5 meV per atom

---

Entry 12:
ThMgHg2N after structural relaxation. Source: Alexandria via LeMat-Bulk, functional GGA-PBE.

```
ThMgHg2N
1.0
4.028 0.000 0.000
0.000 4.028 0.000
0.000 0.000 14.252
Th Mg Hg N
2 2 4 2
Cartesian
1.007 1.007 1.172
3.021 3.021 13.081
1.007 1.007 7.997
3.021 3.021 6.256
1.007 1.007 5.034
1.007 1.007 10.999
3.021 3.021 3.253
3.021 3.021 9.218
1.007 3.021 0.000
3.021 1.007 0.000
```

Computed properties:
Space group = P4/nmm
Size of the total moment = 0.00 μB per cell
E = -0.15988 hartree per atom
Formation energy without anion corrections = -761.8 meV per atom

---

Entry 13:
ThMgHgN after structural relaxation. Source: Alexandria via LeMat-Bulk, functional GGA-PBE.

```
ThMgHgN
1.0
4.310 0.000 0.000
0.000 4.310 0.000
0.000 0.000 9.383
Th Mg Hg N
2 2 2 2
Cartesian
1.078 1.078 1.045
3.233 3.233 8.338
1.078 3.233 4.691
3.233 1.078 4.691
1.078 1.078 6.556
3.233 3.233 2.827
1.078 3.233 0.000
3.233 1.078 0.000
```

Computed properties:
Space group = P4/nmm
Size of the total moment = 0.00 μB per cell
E = -0.19409 hartree per atom
Formation energy without anion corrections = -870.9 meV per atom

---

Entry 14:
MgTi2HgN after structural relaxation. Source: Alexandria via LeMat-Bulk, functional GGA-PBE.

```
MgTi2HgN
1.0
4.152 0.000 0.000
0.000 4.152 0.000
0.000 0.000 4.373
Mg Ti Hg N
1 2 1 1
Cartesian
0.000 0.000 0.000
0.000 2.076 2.186
2.076 0.000 2.186
2.076 2.076 0.000
0.000 0.000 2.186
```

Computed properties:
Space group = P4/mmm
Size of the total moment = 0.00 μB per cell
E = -0.21662 hartree per atom
Formation energy without anion corrections = -692.2 meV per atom

---

Entry 15:
Y2MgHgN after structural relaxation. Source: Alexandria via LeMat-Bulk, functional GGA-PBE.

```
Y2MgHgN
1.0
4.856 0.000 0.000
0.000 4.856 0.000
0.000 0.000 4.328
Y Mg Hg N
2 1 1 1
Cartesian
0.000 2.428 0.000
2.428 0.000 0.000
0.000 0.000 2.164
2.428 2.428 2.164
0.000 0.000 0.000
```

Computed properties:
Space group = P4/mmm
Size of the total moment = 0.00 μB per cell
E = -0.19962 hartree per atom
Formation energy without anion corrections = -801.9 meV per atom

---

Entry 16:
YMg2HgN after structural relaxation. Source: Alexandria via LeMat-Bulk, functional GGA-PBE.

```
YMg2HgN
1.0
4.422 0.000 0.000
0.000 4.422 0.000
0.000 0.000 4.782
Y Mg Hg N
1 2 1 1
Cartesian
0.000 0.000 0.000
0.000 2.211 2.391
2.211 0.000 2.391
2.211 2.211 0.000
0.000 0.000 2.391
```

Computed properties:
Space group = P4/mmm
Size of the total moment = 0.00 μB per cell
E = -0.15597 hartree per atom
Formation energy without anion corrections = -588.1 meV per atom

---

Entry 17:
MgZr2HgN after structural relaxation. Source: Alexandria via LeMat-Bulk, functional GGA-PBE.

```
MgZr2HgN
1.0
4.494 0.000 0.000
0.000 4.494 0.000
0.000 0.000 4.374
Mg Zr Hg N
1 2 1 1
Cartesian
0.000 0.000 0.000
0.000 2.247 2.187
2.247 0.000 2.187
2.247 2.247 0.000
0.000 0.000 2.187
```

Computed properties:
Space group = P4/mmm
Size of the total moment = 0.00 μB per cell
E = -0.22649 hartree per atom
Formation energy without anion corrections = -699.5 meV per atom

---

Entry 18:
NaMg7Hg12 after structural relaxation. Source: Alexandria via LeMat-Bulk, functional GGA-PBE.

```
NaMg7Hg12
1.0
-5.247 5.247 5.247
5.247 -5.247 5.247
5.247 5.247 -5.247
Na Mg Hg
1 7 12
Cartesian
0.000 0.000 0.000
2.624 2.624 -2.624
2.624 -2.624 2.624
5.247 0.000 0.000
-2.624 2.624 2.624
0.000 5.247 0.000
0.000 0.000 5.247
2.624 2.624 2.624
5.247 -2.312 3.583
2.935 1.664 0.000
7.559 1.664 0.000
3.583 5.247 -2.312
1.664 0.000 2.935
0.000 2.935 1.664
5.247 2.312 3.583
3.583 5.247 2.312
1.664 0.000 7.559
-2.312 3.583 5.247
2.312 3.583 5.247
0.000 7.559 1.664
```

Computed properties:
Space group = Im-3
Size of the total moment = 0.00 μB per cell
E = -0.02919 hartree per atom
Energy of formation = 10.9 meV per atom

---

Entry 19:
NaMg3Hg after structural relaxation. Source: Alexandria via LeMat-Bulk, functional GGA-PBE.

```
NaMg3Hg
1.0
5.317 0.000 0.000
0.000 5.317 0.000
0.000 0.000 5.317
Na Mg Hg
1 3 1
Cartesian
0.000 0.000 0.000
0.000 2.659 2.659
2.659 0.000 2.659
2.659 2.659 0.000
2.659 2.659 2.659
```

Computed properties:
Offset from the most stable computed form = 0.66 eV/f.u.
Space group = Pm-3m
Size of the total moment = 0.00 μB per cell
E = -0.04414 hartree per atom
Energy of formation = 79.8 meV per atom

---

Entry 20:
Na2MgHg8 after structural relaxation. Source: Alexandria via LeMat-Bulk, functional GGA-PBE.

```
Na2MgHg8
1.0
4.687 0.000 0.000
0.000 4.687 0.000
0.000 0.000 12.857
Na Mg Hg
2 1 8
Cartesian
0.000 0.000 2.325
0.000 0.000 10.532
0.000 0.000 6.429
0.000 2.343 0.000
0.000 2.343 4.666
0.000 2.343 8.191
2.343 0.000 0.000
2.343 0.000 4.666
2.343 0.000 8.191
2.343 2.343 2.317
2.343 2.343 10.540
```

Computed properties:
Space group = P4/mmm
Size of the total moment = 0.00 μB per cell
E = -0.02783 hartree per atom
Energy of formation = -153.1 meV per atom